Below is K2TlFe2F7 after structural relaxation, with properties calculated at the PBE+U level.

a = 4.274 Å, b = 4.274 Å, c = 11.076 Å
α = 78.87°, β = 78.87°, γ = 90.00°
Each line ends with the local moment (μB).
Fractional coordinates of all 12 atoms:
K  0.817  0.817  0.368  0.00
K  0.183  0.183  0.632  0.00
Tl  0.000  0.000  0.000  0.00
Fe  0.598  0.598  0.803  3.81
Fe  0.402  0.402  0.197  3.81
F  0.500  0.500  0.000  0.04
F  0.307  0.307  0.386  0.03
F  0.693  0.693  0.614  0.03
F  0.902  0.402  0.197  0.03
F  0.402  0.902  0.197  0.03
F  0.598  0.098  0.803  0.03
F  0.098  0.598  0.803  0.03

Calculated values
**E_tot**: -4.89 eV/atom
**V**: 16.219 Å³ per atom